No. 1
La3In3Ag2Pd | PBE | optimized geometry

Structure (CIF):
```
data_La3In3Ag2Pd
_space_group_name_H-M_alt 'P -6 2 m'
_space_group_IT_number 189
_space_group_name_Hall 'P -6 -2'
_cell_length_a 7.8681
_cell_length_b 7.8681
_cell_length_c 4.2511
_cell_angle_alpha 90.00
_cell_angle_beta 90.00
_cell_angle_gamma 120.00
loop_
_atom_site_label
_atom_site_type_symbol
_atom_site_fract_x
_atom_site_fract_y
_atom_site_fract_z
La1 La 0.0000 0.5918 0.0000
In1 In 0.0000 0.2442 0.5000
Ag1 Ag 0.3333 0.6667 0.5000
Pd1 Pd 0.0000 0.0000 0.0000
```

Electronic total energy   -38.86 eV/f.u.

No. 2
LiBeInFe | PBE | optimized geometry

Structure (CIF):
```
data_LiBeInFe
_space_group_name_H-M_alt 'F -4 3 m'
_space_group_IT_number 216
_space_group_name_Hall 'F -4 2 3'
_cell_length_a 6.020
_cell_length_b 6.020
_cell_length_c 6.020
_cell_angle_alpha 90.00
_cell_angle_beta 90.00
_cell_angle_gamma 90.00
loop_
_atom_site_label
_atom_site_type_symbol
_atom_site_fract_x
_atom_site_fract_y
_atom_site_fract_z
Li1 Li 0.000 0.000 0.000
Be1 Be 0.250 0.250 0.250
In1 In 0.250 0.250 0.750
Fe1 Fe 0.000 0.000 0.500
```

Polymorph energy (0 for the lowest one)   0.0000 eV per atom

No. 3
DyErIr | PBE | optimized geometry

Structure (CIF):
```
data_DyErIr
_space_group_name_H-M_alt 'P n m a'
_space_group_IT_number 62
_cell_length_a 7.161
_cell_length_b 4.586
_cell_length_c 8.715
_cell_angle_alpha 90.00
_cell_angle_beta 90.00
_cell_angle_gamma 90.00
loop_
_space_group_symop_operation_xyz
'x,y,z'
'-x,-y,-z'
'-x+1/2,-y,z+1/2'
'x+1/2,y,-z+1/2'
'x+1/2,-y+1/2,-z+1/2'
'-x+1/2,y+1/2,z+1/2'
'-x,y+1/2,-z'
'x,-y+1/2,z'
loop_
_atom_site_label
_atom_site_type_symbol
_atom_site_fract_x
_atom_site_fract_y
_atom_site_fract_z
Dy1 Dy 0.142 0.250 0.081
Er1 Er 0.010 0.250 0.662
Ir1 Ir 0.242 0.250 0.406
```

Energy relative to the elements   -740 meV per atom
Polymorph energy (0 for the lowest one)   0.0156 eV per atom

No. 4
Tm2CoSi4Ir | PBE | optimized geometry

Structure (CIF):
```
data_Tm2CoSi4Ir
_space_group_name_H-M_alt 'A m m 2'
_space_group_IT_number 38
_cell_length_a 3.994
_cell_length_b 4.007
_cell_length_c 16.711
_cell_angle_alpha 90.00
_cell_angle_beta 90.00
_cell_angle_gamma 90.00
loop_
_space_group_symop_operation_xyz
'x,y,z'
'-x,-y,z'
'-x,y,z'
'x,-y,z'
'x,y+1/2,z+1/2'
'-x,-y+1/2,z+1/2'
'-x,y+1/2,z+1/2'
'x,-y+1/2,z+1/2'
loop_
_atom_site_label
_atom_site_type_symbol
_atom_site_fract_x
_atom_site_fract_y
_atom_site_fract_z
Tm1 Tm 0.000 0.000 0.000
Tm2 Tm 0.500 0.000 0.211
Co1 Co 0.500 0.000 0.432
Si1 Si 0.000 0.000 0.365
Si2 Si 0.000 0.000 0.642
Si3 Si 0.500 0.000 0.563
Si4 Si 0.500 0.000 0.865
Ir1 Ir 0.000 0.000 0.783
```

Electronic total energy   -53.22 eV/f.u.